Here is a geometry-optimized LuHfCuNi structure from OQMD via LeMat-Bulk. Energies are from GGA-PBE.

Values from the calculation:
Energy relative to the elements: 0.11 eV per formula unit
Symmetry: F-43m
Calculated density: 12.0 g/cm³
M_tot: 0.0 μB per cell
Crystal system: cubic
Final energy: -5.914 eV/atom

POSCAR file:
```
LuHfCuNi
1.0
6.405 0.000 0.000
0.000 6.405 0.000
0.000 0.000 6.405
Lu Hf Cu Ni
4 4 4 4
Direct
0.000 0.000 0.000 Lu
0.000 0.500 0.500 Lu
0.500 0.000 0.500 Lu
0.500 0.500 0.000 Lu
0.250 0.250 0.750 Hf
0.250 0.750 0.250 Hf
0.750 0.250 0.250 Hf
0.750 0.750 0.750 Hf
0.250 0.250 0.250 Cu
0.250 0.750 0.750 Cu
0.750 0.250 0.750 Cu
0.750 0.750 0.250 Cu
0.000 0.000 0.500 Ni
0.000 0.500 0.000 Ni
0.500 0.000 0.000 Ni
0.500 0.500 0.500 Ni
```